[1]
The following is a GGA-PBE calculation of a relaxed InCoBi2 crystal, from Alexandria via LeMat-Bulk.

**V**: 27.4 A^3/atom
**ΔE_f**: 0.593 eV per atom

The structure in CIF format:
```
data_InCoBi2
_cell_length_a 3.3622
_cell_length_b 3.3622
_cell_length_c 33.6003
_cell_angle_alpha 90.00
_cell_angle_beta 90.00
_cell_angle_gamma 120.00
_symmetry_space_group_name_H-M 'R -3 m'
_symmetry_Int_Tables_number 166
_symmetry_space_group_name_Hall '-R 3 2"'
loop_
_atom_site_label
_atom_site_fract_x
_atom_site_fract_y
_atom_site_fract_z
In1 0.0000 0.0000 0.0000
Co1 0.0000 0.0000 0.5000
Bi1 0.0000 0.0000 0.4236
```

***

[2]
The following is a GGA-PBE calculation of a relaxed InCo2Bi2 crystal, from Alexandria via LeMat-Bulk.

**Excess energy over the best structure of this formula in the dataset**: 206.4 meV per atom
**V**: 21.5 A^3/atom
**ΔE_f**: 0.453 eV per atom

The structure in CIF format:
```
data_InCo2Bi2
_cell_length_a 5.346
_cell_length_b 5.346
_cell_length_c 7.533
_cell_angle_alpha 90.00
_cell_angle_beta 90.00
_cell_angle_gamma 90.00
_symmetry_space_group_name_H-M 'I 4/m m m'
_symmetry_Int_Tables_number 139
_symmetry_space_group_name_Hall '-I 4 2'
loop_
_atom_site_label
_atom_site_fract_x
_atom_site_fract_y
_atom_site_fract_z
In1 0.000 0.000 0.000
Co1 0.000 0.000 0.351
Bi1 0.000 0.500 0.250
```

***

[3]
The following is a GGA-PBE calculation of a relaxed InCoBi3 crystal, from Alexandria via LeMat-Bulk.

**Excess energy over the best structure of this formula in the dataset**: 0.0 meV per atom
**V**: 28.1 A^3/atom
**ΔE_f**: 0.338 eV per atom

The structure in CIF format:
```
data_InCoBi3
_cell_length_a 5.200
_cell_length_b 5.200
_cell_length_c 5.200
_cell_angle_alpha 90.00
_cell_angle_beta 90.00
_cell_angle_gamma 90.00
_symmetry_space_group_name_H-M 'P m -3 m'
_symmetry_Int_Tables_number 221
_symmetry_space_group_name_Hall '-P 4 2 3'
loop_
_atom_site_label
_atom_site_fract_x
_atom_site_fract_y
_atom_site_fract_z
In1 0.000 0.000 0.000
Co1 0.500 0.500 0.500
Bi1 0.000 0.500 0.500
```

***

[4]
The following is a GGA-PBE calculation of a relaxed KIn2CoBi crystal, from Alexandria via LeMat-Bulk.

**V**: 27.5 A^3/atom
**ΔE_f**: 0.025 eV per atom

The structure in CIF format:
```
data_KIn2CoBi
_cell_length_a 5.069
_cell_length_b 5.069
_cell_length_c 5.342
_cell_angle_alpha 90.00
_cell_angle_beta 90.00
_cell_angle_gamma 90.00
_symmetry_space_group_name_H-M 'P 4/m m m'
_symmetry_Int_Tables_number 123
_symmetry_space_group_name_Hall '-P 4 2'
loop_
_atom_site_label
_atom_site_fract_x
_atom_site_fract_y
_atom_site_fract_z
K1 0.000 0.000 0.000
In1 0.000 0.500 0.500
Co1 0.500 0.500 0.500
Bi1 0.500 0.500 0.000
```

***

[5]
The following is a GGA-PBE calculation of a relaxed LaIn2CoBi crystal, from Alexandria via LeMat-Bulk.

**V**: 26.1 A^3/atom
**ΔE_f**: -0.362 eV per atom

The structure in CIF format:
```
data_LaIn2CoBi
_cell_length_a 5.034
_cell_length_b 5.034
_cell_length_c 5.149
_cell_angle_alpha 90.00
_cell_angle_beta 90.00
_cell_angle_gamma 90.00
_symmetry_space_group_name_H-M 'P 4/m m m'
_symmetry_Int_Tables_number 123
_symmetry_space_group_name_Hall '-P 4 2'
loop_
_atom_site_label
_atom_site_fract_x
_atom_site_fract_y
_atom_site_fract_z
La1 0.000 0.000 0.000
In1 0.000 0.500 0.500
Co1 0.000 0.000 0.500
Bi1 0.500 0.500 0.000
```

***

[6]
The following is a GGA-PBE calculation of a relaxed La4InCoBi crystal, from Alexandria via LeMat-Bulk.

**V**: 32.4 A^3/atom
**ΔE_f**: -0.484 eV per atom

The structure in CIF format:
```
data_La4InCoBi
_cell_length_a 7.182
_cell_length_b 17.662
_cell_length_c 7.159
_cell_angle_alpha 90.00
_cell_angle_beta 90.00
_cell_angle_gamma 90.00
_symmetry_space_group_name_H-M 'C m c m'
_symmetry_Int_Tables_number 63
_symmetry_space_group_name_Hall '-C 2c 2'
loop_
_atom_site_label
_atom_site_fract_x
_atom_site_fract_y
_atom_site_fract_z
La1 0.000 0.074 0.250
La2 0.000 0.421 0.250
La3 0.250 0.250 0.000
In1 0.000 0.111 0.750
Co1 0.000 0.248 0.250
Bi1 0.000 0.392 0.750
```

***

[7]
The following is a GGA-PBE calculation of a relaxed InCoBi2N crystal, from Alexandria via LeMat-Bulk.

**Energy**: -0.3564 Ry per atom
**V**: 21.6 A^3/atom

The structure in CIF format:
```
data_InCoBi2N
_cell_length_a 5.555
_cell_length_b 5.555
_cell_length_c 3.493
_cell_angle_alpha 90.00
_cell_angle_beta 90.00
_cell_angle_gamma 90.00
_symmetry_space_group_name_H-M 'P 4/m m m'
_symmetry_Int_Tables_number 123
_symmetry_space_group_name_Hall '-P 4 2'
loop_
_atom_site_label
_atom_site_fract_x
_atom_site_fract_y
_atom_site_fract_z
In1 0.000 0.000 0.000
Co1 0.500 0.500 0.000
Bi1 0.000 0.500 0.500
N1 0.500 0.500 0.500
```

***

[8]
The following is a GGA-PBE calculation of a relaxed NaIn2CoBi crystal, from Alexandria via LeMat-Bulk.

**V**: 26.2 A^3/atom
**ΔE_f**: 0.043 eV per atom

The structure in CIF format:
```
data_NaIn2CoBi
_cell_length_a 4.993
_cell_length_b 4.993
_cell_length_c 5.252
_cell_angle_alpha 90.00
_cell_angle_beta 90.00
_cell_angle_gamma 90.00
_symmetry_space_group_name_H-M 'P 4/m m m'
_symmetry_Int_Tables_number 123
_symmetry_space_group_name_Hall '-P 4 2'
loop_
_atom_site_label
_atom_site_fract_x
_atom_site_fract_y
_atom_site_fract_z
Na1 0.000 0.000 0.000
In1 0.000 0.500 0.500
Co1 0.500 0.500 0.500
Bi1 0.500 0.500 0.000
```

***

What did the first record say?
The following is a GGA-PBE calculation of a relaxed InCoBi2 crystal, from Alexandria via LeMat-Bulk.

**V**: 27.4 A^3/atom
**ΔE_f**: 0.593 eV per atom

The structure in CIF format:
```
data_InCoBi2
_cell_length_a 3.3622
_cell_length_b 3.3622
_cell_length_c 33.6003
_cell_angle_alpha 90.00
_cell_angle_beta 90.00
_cell_angle_gamma 120.00
_symmetry_space_group_name_H-M 'R -3 m'
_symmetry_Int_Tables_number 166
_symmetry_space_group_name_Hall '-R 3 2"'
loop_
_atom_site_label
_atom_site_fract_x
_atom_site_fract_y
_atom_site_fract_z
In1 0.0000 0.0000 0.0000
Co1 0.0000 0.0000 0.5000
Bi1 0.0000 0.0000 0.4236
```